Entry 1:
Tl2SiW | GGA-PBE | optimized geometry

Cell lengths 4.8709, 4.0976, 4.0976 Å; angles 90.00, 90.00, 90.00 degrees
Each line ends with the local moment (μB).
Sites, in units of the cell vectors:
Si  0.5000  0.0000  0.5000  -0.01
W  0.5000  0.5000  0.0000  0.70
Tl  0.0000  0.0000  0.0000  -0.01
Tl  0.0000  0.5000  0.5000  -0.01

As for the space group: P4/mmm (123). For the energy above the lowest structure with this stoichiometry, the calculation gives 275 kJ/mol of formula units.



Entry 2:
Sm3Pb4 | GGA-PBE | optimized geometry

Cell lengths 4.5157, 6.3417, 16.1337 Å; angles 90.00, 90.00, 110.86 degrees
Sites, in units of the cell vectors:
Pb  0.6310  0.2620  0.6091
Sm  0.0716  0.1432  0.7504
Sm  0.3392  0.6784  0.9029
Pb  0.0010  0.0020  0.5004
Sm  0.9307  0.8614  0.2504
Sm  0.6634  0.3268  0.0977
Pb  0.3711  0.7422  0.3916
Pb  0.1946  0.3892  0.2503
Sm  0.3389  0.6778  0.5977
Pb  0.8077  0.6154  0.7503
Pb  0.6313  0.2625  0.8916
Pb  0.0013  0.0025  0.0003
Pb  0.3713  0.7426  0.1091
Sm  0.6632  0.3264  0.4030

As for the space group: Cmcm (63). The energy of formation is -0.48 eV per atom.



Entry 3:
BaNaRh3 | GGA-PBE | optimized geometry

Cell lengths 5.1709, 5.1709, 5.1709 Å; angles 90.00, 90.00, 90.00 degrees
Each line ends with the local moment (μB).
Sites, in units of the cell vectors:
Na  0.5000  0.5000  0.5000  0.00
Rh  0.5000  0.0000  0.0000  0.36
Ba  0.0000  0.0000  0.0000  -0.04
Rh  0.0000  0.0000  0.5000  0.35
Rh  0.0000  0.5000  0.0000  0.49

As for the space group: Pm-3m (221). The energy of formation is 1.45 eV per atom. For the energy above the lowest structure with this stoichiometry, the calculation gives 210 kJ/mol of formula units.



Q: Which formula does entry 3 have?
A: BaNaRh3



Q: What is the formula in the third record?
A: BaNaRh3



Q: Number 1 is which compound?
A: Tl2SiW